Record 1
YRe2Ir: relaxed, PBE.

The structure in CIF format:
```
data_YRe2Ir
_space_group_name_H-M_alt 'I -4 2 d'
_space_group_IT_number 122
_space_group_name_Hall 'I -4 2bw'
_cell_length_a 7.738
_cell_length_b 7.738
_cell_length_c 5.232
_cell_angle_alpha 90.00
_cell_angle_beta 90.00
_cell_angle_gamma 90.00
loop_
_atom_site_label
_atom_site_type_symbol
_atom_site_fract_x
_atom_site_fract_y
_atom_site_fract_z
Y1 Y 0.000 0.000 0.000
Re1 Re 0.196 0.750 0.625
Ir1 Ir 0.000 0.000 0.500
```

Computed properties:
DOS at the Fermi energy ... 4.39 states/eV/f.u.
E_form ... 13.17 kcal/mol of atoms
Raw total energy ... -9.484 eV per atom


Record 2
YReIr: relaxed, PBE.

The structure in CIF format:
```
data_YReIr
_space_group_name_H-M_alt 'F -4 3 m'
_space_group_IT_number 216
_space_group_name_Hall 'F -4 2 3'
_cell_length_a 6.419
_cell_length_b 6.419
_cell_length_c 6.419
_cell_angle_alpha 90.00
_cell_angle_beta 90.00
_cell_angle_gamma 90.00
loop_
_atom_site_label
_atom_site_type_symbol
_atom_site_fract_x
_atom_site_fract_y
_atom_site_fract_z
Y1 Y 0.000 0.000 0.000
Re1 Re 0.250 0.250 0.250
Ir1 Ir 0.250 0.250 0.750
```

Computed properties:
DOS at the Fermi energy ... 1.72 states/eV/f.u.
E_form ... 30.12 kcal/mol of atoms
Raw total energy ... -7.952 eV per atom


Record 3
YRe2Ir: relaxed, PBE.

The structure in CIF format:
```
data_YRe2Ir
_space_group_name_H-M_alt 'P 4/m m m'
_space_group_IT_number 123
_space_group_name_Hall '-P 4 2'
_cell_length_a 2.802
_cell_length_b 2.802
_cell_length_c 8.726
_cell_angle_alpha 90.00
_cell_angle_beta 90.00
_cell_angle_gamma 90.00
loop_
_atom_site_label
_atom_site_type_symbol
_atom_site_fract_x
_atom_site_fract_y
_atom_site_fract_z
Y1 Y 0.000 0.000 0.000
Re1 Re 0.500 0.500 0.282
Ir1 Ir 0.000 0.000 0.500
```

Computed properties:
DOS at the Fermi energy ... 3.34 states/eV/f.u.
E_form ... 5.65 kcal/mol of atoms
Raw total energy ... -9.810 eV per atom


Record 4
YRe2Ir: relaxed, PBE.

The structure in CIF format:
```
data_YRe2Ir
_space_group_name_H-M_alt 'P 4/m m m'
_space_group_IT_number 123
_space_group_name_Hall '-P 4 2'
_cell_length_a 3.857
_cell_length_b 3.857
_cell_length_c 4.677
_cell_angle_alpha 90.00
_cell_angle_beta 90.00
_cell_angle_gamma 90.00
loop_
_atom_site_label
_atom_site_type_symbol
_atom_site_fract_x
_atom_site_fract_y
_atom_site_fract_z
Y1 Y 0.000 0.000 0.000
Re1 Re 0.000 0.500 0.500
Ir1 Ir 0.500 0.500 0.000
```

Computed properties:
DOS at the Fermi energy ... 3.64 states/eV/f.u.
E_form ... 5.83 kcal/mol of atoms
Raw total energy ... -9.802 eV per atom


Record 5
YRe2Ir2: relaxed, PBE.

The structure in CIF format:
```
data_YRe2Ir2
_space_group_name_H-M_alt 'P 4/m b m'
_space_group_IT_number 127
_space_group_name_Hall '-P 4 2ab'
_cell_length_a 7.788
_cell_length_b 7.788
_cell_length_c 2.789
_cell_angle_alpha 90.00
_cell_angle_beta 90.00
_cell_angle_gamma 90.00
loop_
_atom_site_label
_atom_site_type_symbol
_atom_site_fract_x
_atom_site_fract_y
_atom_site_fract_z
Y1 Y 0.000 0.000 0.000
Re1 Re 0.120 0.380 0.000
Ir1 Ir 0.173 0.673 0.500
```

Computed properties:
DOS at the Fermi energy ... 2.39 states/eV/f.u.
E_form ... -3.73 kcal/mol of atoms
Raw total energy ... -9.978 eV per atom


Record 6
YReIr3: relaxed, PBE.

The structure in CIF format:
```
data_YReIr3
_space_group_name_H-M_alt 'P m -3 m'
_space_group_IT_number 221
_space_group_name_Hall '-P 4 2 3'
_cell_length_a 4.769
_cell_length_b 4.769
_cell_length_c 4.769
_cell_angle_alpha 90.00
_cell_angle_beta 90.00
_cell_angle_gamma 90.00
loop_
_atom_site_label
_atom_site_type_symbol
_atom_site_fract_x
_atom_site_fract_y
_atom_site_fract_z
Y1 Y 0.000 0.000 0.000
Re1 Re 0.500 0.500 0.500
Ir1 Ir 0.000 0.500 0.500
```

Computed properties:
DOS at the Fermi energy ... 4.25 states/eV/f.u.
E_form ... 15.36 kcal/mol of atoms
Raw total energy ... -8.433 eV per atom


These records have energy above the most stable polymorph in this dataset values of 0.551 1.382 0.225 0.233 0.000 0.000 eV per atom, in the order they appear.
These records have magnetization values of 0.0 10.7 0.0 0.0 0.0 0.0 Bohr magnetons per cell, in the order they appear.